First-principles (GGA-PBE) data for a geometry-optimized Rb2Tl3SnBr6 structure, as listed in Alexandria.

The calculation puts the total moment at 2.0 μB/cell. The uncorrected formation energy is -96.74 kJ per mole of atoms.

It has space group C2/m (No. 12), with a = 8.129 Å, b = 14.183 Å, c = 8.990 Å, α = 90.00°, β = 112.88° and γ = 90.00°. Symmetry generates all atoms from Rb at (0.000, 0.156, 0.000), Tl at (0.000, 0.000, 0.500), Tl at (0.000, 0.332, 0.500), Sn at (0.000, 0.500, 0.000), Br at (0.217, 0.344, 0.235) and Br at (0.249, 0.500, 0.707).